Here is an optimized crystal structure of NbBr from Alexandria. Energies are from PBE-GGA.

abc: 3.2044 3.2044 9.1608
angles: 90.00 90.00 120.00
Space group P6_3mc (No. 186)
Symmetry-distinct sites (fractional):
Nb (0.3333, 0.6667, 0.0000) (multiplicity 2)
Br (0.3333, 0.6667, 0.7071) (multiplicity 2)

Properties
M_tot = 0.000 μB per atom
total energy = -0.4223 Ry/atom
density of states at the Fermi level = 2.10 states/eV/cell
energy relative to the elements, uncorrected = 0.13 eV/atom

---

Here is an optimized crystal structure of GdGa2 from Alexandria. Energies are from PBE-GGA.

abc: 6.018 5.769 4.279
angles: 90.00 111.26 90.00
Space group C2/m (No. 12)
Symmetry-distinct sites (fractional):
Gd (0.000, 0.000, 0.000) (multiplicity 2)
Ga (0.123, 0.500, 0.317) (multiplicity 4)

Properties
M_tot = 2.451 μB per atom
total energy = -0.5213 Ry/atom
density of states at the Fermi level = 4.90 states/eV/cell

---

Here is an optimized crystal structure of Te2RhNCl from Alexandria. Energies are from PBE-GGA.

abc: 5.380 5.380 3.383
angles: 90.00 90.00 90.00
Space group P4/mmm (No. 123)
Symmetry-distinct sites (fractional):
Te (0.000, 0.500, 0.000) (multiplicity 2)
Rh (0.000, 0.000, 0.500) (multiplicity 1)
N (0.500, 0.500, 0.500) (multiplicity 1)
Cl (0.500, 0.500, 0.000) (multiplicity 1)

Properties
excess energy over the best structure of this formula in the dataset = 1050.7 meV per atom
M_tot = 0.000 μB per atom
total energy = -0.2414 Ry/atom
density of states at the Fermi level = 5.22 states/eV/cell
energy relative to the elements, uncorrected = 1.48 eV/atom

---

Here is an optimized crystal structure of AlPd2Pb from Alexandria. Energies are from PBE-GGA.

abc: 7.333 7.333 5.791
angles: 90.00 90.00 90.00
Space group I-42d (No. 122)
Symmetry-distinct sites (fractional):
Al (0.000, 0.000, 0.000) (multiplicity 4)
Pd (0.196, 0.250, 0.125) (multiplicity 8)
Pb (0.000, 0.000, 0.500) (multiplicity 4)

Properties
excess energy over the best structure of this formula in the dataset = 282.7 meV per atom
M_tot = 0.000 μB per atom
total energy = -0.3459 Ry/atom
density of states at the Fermi level = 5.04 states/eV/cell

---

Here is an optimized crystal structure of NpNi4TeP2 from Alexandria. Energies are from PBE-GGA.

abc: 3.840 3.840 8.216
angles: 90.00 90.00 90.00
Space group P4/mmm (No. 123)
Symmetry-distinct sites (fractional):
Np (0.000, 0.000, 0.000) (multiplicity 1)
Ni (0.000, 0.500, 0.281) (multiplicity 4)
Te (0.000, 0.000, 0.500) (multiplicity 1)
P (0.500, 0.500, 0.142) (multiplicity 2)

Properties
M_tot = 0.439 μB per atom
total energy = -0.4944 Ry/atom
density of states at the Fermi level = 11.74 states/eV/cell
energy relative to the elements, uncorrected = -0.47 eV/atom

---

Here is an optimized crystal structure of Ti5AlPd6 from Alexandria. Energies are from PBE-GGA.

abc: 4.125 7.373 12.199
angles: 90.00 90.00 90.00
Space group Immm (No. 71)
Symmetry-distinct sites (fractional):
Ti (0.000, 0.000, 0.000) (multiplicity 2)
Ti (0.000, 0.000, 0.316) (multiplicity 4)
Ti (0.000, 0.500, 0.353) (multiplicity 4)
Al (0.000, 0.500, 0.000) (multiplicity 2)
Pd (0.000, 0.215, 0.500) (multiplicity 4)
Pd (0.000, 0.263, 0.167) (multiplicity 8)

Properties
excess energy over the best structure of this formula in the dataset = 0.0 meV per atom
M_tot = 0.018 μB per atom
total energy = -0.4991 Ry/atom
density of states at the Fermi level = 29.45 states/eV/cell

---

Here is an optimized crystal structure of BeAuI2O from Alexandria. Energies are from PBE-GGA.

abc: 5.688 5.688 3.981
angles: 90.00 90.00 90.00
Space group P4/mmm (No. 123)
Symmetry-distinct sites (fractional):
Be (0.000, 0.000, 0.000) (multiplicity 1)
Au (0.500, 0.500, 0.500) (multiplicity 1)
I (0.000, 0.500, 0.500) (multiplicity 2)
O (0.500, 0.500, 0.000) (multiplicity 1)

Properties
excess energy over the best structure of this formula in the dataset = 1166.4 meV per atom
M_tot = 0.000 μB per atom
total energy = -0.1696 Ry/atom
density of states at the Fermi level = 6.72 states/eV/cell
energy relative to the elements, uncorrected = 0.70 eV/atom

---

Here is an optimized crystal structure of InPdS3 from Alexandria. Energies are from PBE-GGA.

abc: 4.741 4.741 4.741
angles: 90.00 90.00 90.00
Space group Pm-3m (No. 221)
Symmetry-distinct sites (fractional):
In (0.000, 0.000, 0.000) (multiplicity 1)
Pd (0.500, 0.500, 0.500) (multiplicity 1)
S (0.000, 0.500, 0.500) (multiplicity 3)

Properties
excess energy over the best structure of this formula in the dataset = 0.0 meV per atom
M_tot = 0.000 μB per atom
total energy = -0.2788 Ry/atom
density of states at the Fermi level = 5.11 states/eV/cell
energy relative to the elements, uncorrected = 0.27 eV/atom